(1)
A plane-wave DFT calculation with GGA-PBE was carried out for a relaxed CsRb2Br2 crystal.

Cell lengths 6.584, 6.584, 10.109 Å; angles 70.99, 70.99, 90.00 degrees
Atoms (fractional coordinates):
1 Cs 0.000 0.000 0.000
2 Br 0.199 0.199 0.602
3 Br 0.801 0.801 0.398
4 Rb 0.750 0.250 0.500
5 Rb 0.250 0.750 0.500

Summary:
For the distance to the lowest polymorph of the same formula, the calculation gives 0.0 kJ/mol of atoms. As for the volume: 389 Å³/cell. As for the symmetry: I4/mmm.

(2)
A plane-wave DFT calculation with GGA-PBE was carried out for a relaxed Np2CuSi4Pt3 crystal.

Cell lengths 4.179, 4.179, 9.890 Å; angles 90.00, 90.00, 90.00 degrees
Each line ends with the local moment (μB).
Atoms (fractional coordinates):
1 Np 0.500 0.000 0.253  3.66
2 Np 0.000 0.500 0.747  3.66
3 Cu 0.500 0.500 0.500  0.01
4 Si 0.500 0.500 0.000  -0.02
5 Si 0.000 0.000 0.000  -0.02
6 Si 0.500 0.000 0.633  -0.02
7 Si 0.000 0.500 0.367  -0.02
8 Pt 0.000 0.000 0.500  -0.03
9 Pt 0.500 0.000 0.876  -0.03
10 Pt 0.000 0.500 0.124  -0.03

Summary:
As for the volume: 173 Å³/cell. As for the final energy: -7.628 eV/atom. As for the symmetry: P-4m2.

(3)
A plane-wave DFT calculation with GGA-PBE was carried out for a relaxed Tb2Al3Tc crystal.

Cell lengths 5.534, 5.534, 8.936 Å; angles 90.00, 90.00, 120.00 degrees
Atoms (fractional coordinates):
1 Tb 0.667 0.333 0.448
2 Tb 0.333 0.667 0.552
3 Tb 0.333 0.667 0.948
4 Tb 0.667 0.333 0.052
5 Al 0.162 0.324 0.250
6 Al 0.324 0.162 0.750
7 Al 0.838 0.676 0.750
8 Al 0.162 0.838 0.250
9 Al 0.838 0.162 0.750
10 Al 0.676 0.838 0.250
11 Tc 0.000 0.000 0.500
12 Tc 0.000 0.000 0.000

Summary:
For the distance to the lowest polymorph of the same formula, the calculation gives 0.0 kJ/mol of atoms. As for the volume: 237 Å³/cell. As for the symmetry: P6_3/mmc.

(4)
A plane-wave DFT calculation with GGA-PBE was carried out for a relaxed LaPuTc crystal.

Cell lengths 3.490, 3.490, 6.271 Å; angles 106.16, 106.16, 90.00 degrees
Each line ends with the local moment (μB).
Atoms (fractional coordinates):
1 La 0.008 0.008 0.015  0.13
2 Tc 0.687 0.687 0.373  -0.54
3 Pu 0.306 0.306 0.611  5.03

Summary:
For the distance to the lowest polymorph of the same formula, the calculation gives 4.3 kJ/mol of atoms. As for the volume: 70 Å³/cell. As for the symmetry: I4mm.

(5)
A plane-wave DFT calculation with GGA-PBE was carried out for a relaxed Mn4Se5 crystal.

Cell lengths 7.114, 7.114, 7.114 Å; angles 93.44, 93.44, 151.65 degrees
Each line ends with the local moment (μB).
Atoms (fractional coordinates):
1 Mn 0.665 0.000 0.665  3.85
2 Mn 0.335 0.000 0.335  3.85
3 Mn 0.000 0.335 0.335  3.85
4 Mn 0.000 0.665 0.665  3.85
5 Se 0.000 0.000 0.000  -0.04
6 Se 0.671 0.329 0.000  0.01
7 Se 0.329 0.671 0.000  0.01
8 Se 0.329 0.329 0.658  0.01
9 Se 0.671 0.671 0.342  0.01

Summary:
As for the volume: 166 Å³/cell. As for the final energy: -5.615 eV/atom. As for the symmetry: I4/mmm.

(6)
A plane-wave DFT calculation with GGA-PBE was carried out for a relaxed Y3ZnOs crystal.

Cell lengths 5.372, 5.372, 5.372 Å; angles 90.00, 90.00, 90.00 degrees
Atoms (fractional coordinates):
1 Y 0.000 0.500 0.000
2 Y 0.000 0.000 0.500
3 Y 0.500 0.000 0.000
4 Zn 0.500 0.500 0.500
5 Os 0.000 0.000 0.000

Summary:
For the distance to the lowest polymorph of the same formula, the calculation gives 34.7 kJ/mol of atoms. As for the volume: 155 Å³/cell. As for the symmetry: Pm-3m.

(7)
A plane-wave DFT calculation with GGA-PBE was carried out for a relaxed Pr2Zn4Ga3Pd crystal.

Cell lengths 4.263, 4.263, 10.684 Å; angles 90.00, 90.00, 90.00 degrees
Atoms (fractional coordinates):
1 Pr 0.500 0.000 0.251
2 Pr 0.000 0.500 0.749
3 Zn 0.500 0.500 0.000
4 Zn 0.000 0.000 0.000
5 Zn 0.500 0.000 0.634
6 Zn 0.000 0.500 0.366
7 Ga 0.000 0.000 0.500
8 Ga 0.500 0.000 0.864
9 Ga 0.000 0.500 0.136
10 Pd 0.500 0.500 0.500

Summary:
As for the volume: 194 Å³/cell. As for the final energy: -3.395 eV/atom. As for the symmetry: P-4m2.

(8)
A plane-wave DFT calculation with GGA-PBE was carried out for a relaxed Cd3HgSe4 crystal.

Cell lengths 7.181, 7.609, 8.785 Å; angles 90.00, 90.00, 90.00 degrees
Atoms (fractional coordinates):
1 Cd 0.502 0.833 0.000
2 Cd 0.002 0.667 0.250
3 Cd 0.502 0.333 0.250
4 Cd 0.002 0.167 0.500
5 Cd 0.502 0.333 0.750
6 Cd 0.002 0.667 0.750
7 Hg 0.002 0.167 0.000
8 Hg 0.502 0.833 0.500
9 Se 0.128 0.831 0.000
10 Se 0.624 0.166 0.000
11 Se 0.128 0.335 0.252
12 Se 0.628 0.665 0.248
13 Se 0.124 0.834 0.500
14 Se 0.628 0.169 0.500
15 Se 0.628 0.665 0.752
16 Se 0.128 0.335 0.748

Summary:
For the distance to the lowest polymorph of the same formula, the calculation gives 0.2 kJ/mol of atoms. As for the volume: 480 Å³/cell. As for the symmetry: Pmn2_1.